VASP calculation (PBE) on crystalline PrEr2 at its relaxed geometry.

Geometry as POSCAR:
```
PrEr2
1.0
0.000 4.691 4.691
4.691 0.000 4.691
4.691 4.691 0.000
Pr Er
2 4
Cartesian
1.173 1.173 1.173
8.209 8.209 8.209
4.691 2.346 2.346
2.346 4.691 2.346
2.346 2.346 4.691
4.691 4.691 4.691
```

## Properties
Symmetry: Fd-3m, No. 227
ΔH_f (0 K), eV/atom: 0.28
Energy above the lowest structure with this stoichiometry, meV per atom: 0
Total moment, μB per formula unit: 2.25

=====

VASP calculation (PBE) on crystalline LaNdTc at its relaxed geometry.

Geometry as POSCAR:
```
LaNdTc
1.0
0.000 3.413 3.413
3.413 0.000 3.413
3.413 3.413 0.000
La Nd Tc
1 1 1
Cartesian
0.000 0.000 0.000
5.120 5.120 5.120
1.707 1.707 1.707
```

## Properties
Symmetry: F-43m, No. 216
ΔH_f (0 K), eV/atom: 0.89
Total moment, μB per formula unit: 0.50

=====

Question: Among the records above, which one has the lowest ΔH_f (0 K)?
Answer: PrEr2